# PBE-GGA Mg3AlHg2, relaxed
# M_tot = 0.0 μB per formula unit
# final energy = -0.0602 Ha/atom
# calculated density = 6.44 Mg/m³
# Fermi-level density of states = 0.23 states/eV per atom
# ΔH_f (0 K) = -117 meV per atom
data_Mg3AlHg2
_symmetry_space_group_name_H-M 'I b a m'
_symmetry_Int_Tables_number 72
_symmetry_space_group_name_Hall '-I 2 2c'
_cell_length_a 5.818
_cell_length_b 15.433
_cell_length_c 5.760
_cell_angle_alpha 90.00
_cell_angle_beta 90.00
_cell_angle_gamma 90.00
loop_
_atom_site_label
_atom_site_fract_x
_atom_site_fract_y
_atom_site_fract_z
_atom_site_occupancy
Mg1 0.000 0.000 0.250 1
Mg2 0.238 0.182 0.000 1
Al1 0.000 0.500 0.250 1
Hg1 0.238 0.366 0.000 1